Entry 1:
{"formula": "Na4AgCl6", "functional": "PBE-GGA", "state": "optimized geometry", "energy_ev_per_cell": -68.4, "vol_a3_per_cell": 554.2, "sg": "Cc, No. 9", "raw_formation_energy_mev_per_atom": -1362, "dos_at_fermi_per_ev_cell": 2.2, "mass_density_g_cm3": 2.472, "lattice": [[6.117, -3.460, 0.000], [6.117, 3.460, 0.000], [-1.011, 0.000, 13.093]], "species": ["Na", "Na", "Na", "Na", "Na", "Na", "Na", "Na", "Ag", "Ag", "Cl", "Cl", "Cl", "Cl", "Cl", "Cl", "Cl", "Cl", "Cl", "Cl", "Cl", "Cl"], "frac_coords": [[0.154, 0.504, 0.973], [0.168, 0.832, 0.500], [0.452, 0.853, 0.971], [0.478, 0.817, 0.235], [0.504, 0.154, 0.473], [0.817, 0.478, 0.735], [0.832, 0.168, 0.000], [0.853, 0.452, 0.471], [0.150, 0.488, 0.236], [0.488, 0.150, 0.736], [0.125, 0.183, 0.864], [0.179, 0.816, 0.092], [0.183, 0.125, 0.364], [0.195, 0.444, 0.624], [0.444, 0.195, 0.124], [0.446, 0.500, 0.354], [0.500, 0.446, 0.854], [0.530, 0.839, 0.610], [0.762, 0.860, 0.857], [0.816, 0.179, 0.592], [0.839, 0.530, 0.110], [0.860, 0.762, 0.357]]}

---

Entry 2:
{"formula": "PrSm2Al", "functional": "PBE-GGA", "state": "optimized geometry", "delta_e_f_ev_per_atom": -0.179, "energy_ev_per_cell": -74.7, "vol_a3_per_cell": 465.8, "polymorph_energy_ev_per_atom": 0.000, "sg": "Amm2, No. 38", "dos_at_fermi_per_ev_cell": 15.4, "mass_density_g_cm3": 6.683, "lattice": [[5.376, 0.000, 0.000], [0.000, 7.077, 0.000], [0.000, 0.000, 12.244]], "species": ["Pr", "Pr", "Pr", "Pr", "Sm", "Sm", "Sm", "Sm", "Sm", "Sm", "Sm", "Sm", "Al", "Al", "Al", "Al"], "frac_coords": [[0.000, 0.234, 0.000], [0.000, 0.266, 0.500], [0.000, 0.734, 0.500], [0.000, 0.766, 0.000], [0.000, 0.000, 0.767], [0.000, 0.500, 0.267], [0.500, 0.000, 0.412], [0.500, 0.234, 0.179], [0.500, 0.266, 0.679], [0.500, 0.500, 0.912], [0.500, 0.734, 0.679], [0.500, 0.766, 0.179], [0.000, 0.000, 0.256], [0.000, 0.500, 0.756], [0.500, 0.000, 0.920], [0.500, 0.500, 0.420]]}

---

Entry 3:
{"formula": "PuTc2HgO8", "functional": "PBE-GGA", "state": "optimized geometry", "energy_ev_per_cell": -94.5, "vol_a3_per_cell": 260.2, "sg": "R-3, No. 148", "raw_formation_energy_mev_per_atom": -1621, "dos_at_fermi_per_ev_cell": 6.9, "mass_density_g_cm3": 4.905, "lattice": [[3.092, 1.785, 7.857], [-3.092, 1.785, 7.857], [0.000, -3.570, 7.857]], "species": ["Pu", "Tc", "Tc", "Hg", "O", "O", "O", "O", "O", "O", "O", "O"], "frac_coords": [[0.000, 0.000, 0.000], [0.255, 0.255, 0.255], [0.745, 0.745, 0.745], [0.500, 0.500, 0.500], [0.112, 0.595, 0.136], [0.136, 0.112, 0.595], [0.182, 0.182, 0.182], [0.405, 0.864, 0.888], [0.595, 0.136, 0.112], [0.818, 0.818, 0.818], [0.864, 0.888, 0.405], [0.888, 0.405, 0.864]]}

---

Entry 4:
{"formula": "Ti2V2Ga7", "functional": "PBE-GGA", "state": "optimized geometry", "delta_e_f_ev_per_atom": -0.085, "energy_ev_per_cell": -56.1, "vol_a3_per_cell": 179.6, "sg": "C2/m, No. 12", "dos_at_fermi_per_ev_cell": 8.4, "mass_density_g_cm3": 6.341, "lattice": [[4.702, -3.814, 0.000], [4.702, 3.814, 0.000], [-2.327, 0.000, 5.006]], "species": ["Ti", "Ti", "V", "V", "Ga", "Ga", "Ga", "Ga", "Ga", "Ga", "Ga"], "frac_coords": [[0.192, 0.808, 0.000], [0.808, 0.192, 0.000], [0.242, 0.242, 0.977], [0.758, 0.758, 0.023], [0.000, 0.000, 0.500], [0.092, 0.549, 0.339], [0.444, 0.444, 0.728], [0.451, 0.908, 0.661], [0.549, 0.092, 0.339], [0.556, 0.556, 0.272], [0.908, 0.451, 0.661]]}

---

Entry 5:
{"formula": "SbTeMo2", "functional": "PBE-GGA", "state": "optimized geometry", "energy_ev_per_cell": -55.3, "vol_a3_per_cell": 162.2, "polymorph_energy_ev_per_atom": 0.196, "sg": "Imm2, No. 44", "raw_formation_energy_mev_per_atom": 318, "dos_at_fermi_per_ev_cell": 7.2, "mass_density_g_cm3": 9.034, "lattice": [[3.536, 0.000, 0.000], [0.000, 3.577, 0.000], [0.000, 0.000, 12.825]], "species": ["Sb", "Sb", "Te", "Te", "Mo", "Mo", "Mo", "Mo"], "frac_coords": [[0.000, 0.000, 0.000], [0.500, 0.500, 0.500], [0.000, 0.500, 0.751], [0.500, 0.000, 0.251], [0.000, 0.000, 0.414], [0.000, 0.500, 0.164], [0.500, 0.000, 0.664], [0.500, 0.500, 0.914]]}

---

Entry 6:
{"formula": "Pr8TlRu2", "functional": "PBE-GGA", "state": "optimized geometry", "delta_e_f_ev_per_atom": -0.113, "energy_ev_per_cell": -60.4, "vol_a3_per_cell": 343.3, "polymorph_energy_ev_per_atom": 0.018, "sg": "Cm, No. 8", "dos_at_fermi_per_ev_cell": 12.4, "mass_density_g_cm3": 7.419, "lattice": [[4.435, -6.981, 0.000], [4.435, 6.981, 0.000], [-1.409, 0.000, 5.545]], "species": ["Pr", "Pr", "Pr", "Pr", "Pr", "Pr", "Pr", "Pr", "Tl", "Ru", "Ru"], "frac_coords": [[0.000, 0.000, 0.000], [0.066, 0.320, 0.642], [0.149, 0.643, 0.200], [0.320, 0.066, 0.642], [0.473, 0.727, 0.756], [0.643, 0.149, 0.200], [0.727, 0.473, 0.756], [0.793, 0.793, 0.399], [0.397, 0.397, 0.199], [0.102, 0.692, 0.700], [0.692, 0.102, 0.700]]}